No. 1
Here is Ba3NaCu2H9 after structural relaxation from the Alexandria database. Energies are from PBE.

Properties
ρ   4.8 g/cm³
DFT total energy   -3.351 eV per atom

a b c (Å): 5.7155 5.7155 7.0486
angles (deg): 90.00 90.00 120.00
Last column: nearest neighbours and their distance in Å.
Fractional coordinates of all 15 atoms:
Ba1 0.3333 0.6667 0.6882  12 H 2.75-3.05
Ba2 0.0000 0.0000 0.0000  12 H 2.84-2.86
Ba3 0.6667 0.3333 0.3118  12 H 2.75-3.05
Na1 0.0000 0.0000 0.5000  6 H 2.24
Cu1 0.3333 0.6667 0.1863  3 H 1.74
Cu2 0.6667 0.3333 0.8137  3 H 1.74
H1 0.8184 0.1816 0.6888  1 Cu 1.74
H2 0.8184 0.6368 0.6888  1 Cu 1.74
H3 0.3632 0.1816 0.6888  1 Cu 1.74
H4 0.6368 0.8184 0.3112  1 Cu 1.74
H5 0.1816 0.3632 0.3112  1 Cu 1.74
H6 0.1816 0.8184 0.3112  1 Cu 1.74
H7 0.5000 0.0000 0.0000  2 Cu 2.11
H8 0.0000 0.5000 0.0000  2 Cu 2.11
H9 0.5000 0.5000 0.0000  2 Cu 2.11

No. 2
Here is MnGaCoRuS after structural relaxation from the Alexandria database. Energies are from PBE.

Properties
ρ   7.8 g/cm³
DFT total energy   -6.641 eV per atom
Formation energy from raw total energies   -9.7 kJ per mole of atoms
E above lowest polymorph   0.135 eV/atom

a b c (Å): 4.7151 3.1666 9.0243
angles (deg): 90.00 90.33 90.00
Last column: nearest neighbours and their distance in Å.
Fractional coordinates of all 10 atoms:
Ru1 0.8665 0.0000 0.3075  1 S 2.33, 3 Ga 2.50-2.60
Ru2 0.8665 0.5000 0.8075  1 S 2.33, 3 Ga 2.50-2.60
S1 0.3240 0.0000 0.4061  2 Co 2.15, 2 Mn 2.27, 1 Ru 2.33
S2 0.3240 0.5000 0.9061  2 Co 2.15, 2 Mn 2.27, 1 Ru 2.33
Mn1 0.3950 0.0000 0.7291  2 S 2.27
Mn2 0.3950 0.5000 0.2291  2 S 2.27
Co1 0.5525 0.0000 0.0147  2 S 2.15
Co2 0.5525 0.5000 0.5147  2 S 2.15
Ga1 0.9162 0.0000 0.5944  2 Co 2.44, 3 Ru 2.50-2.60, 1 Mn 2.56, 1 S 2.57
Ga2 0.9162 0.5000 0.0944  2 Co 2.44, 3 Ru 2.50-2.60, 1 Mn 2.56, 1 S 2.57

No. 3
Here is KNpSb2Au2 after structural relaxation from the Alexandria database. Energies are from PBE.

Properties
ρ   8.7 g/cm³
DFT total energy   -5.181 eV per atom
Formation energy from raw total energies   -36.1 kJ per mole of atoms

a b c (Å): 4.6972 4.6972 9.1249
angles (deg): 90.00 90.00 120.00
Last column: nearest neighbours and their distance in Å.
Fractional coordinates of all 6 atoms:
K1 0.0000 0.0000 0.0000  6 Sb 3.70, 6 Au 3.96
Np1 0.0000 0.0000 0.5000  6 Au 3.19, 6 Sb 3.40
Sb1 0.6667 0.3333 0.2751  3 Au 2.74
Sb2 0.3333 0.6667 0.7249  3 Au 2.74
Au1 0.6667 0.3333 0.6837  3 Sb 2.74
Au2 0.3333 0.6667 0.3163  3 Sb 2.74

No. 4
Here is CaP2O2 after structural relaxation from the Alexandria database. Energies are from PBE.

Properties
ρ   1.9 g/cm³
DFT total energy   -4.248 eV per atom
Formation energy from raw total energies   28.9 kJ per mole of atoms
E above lowest polymorph   1.167 eV/atom

a b c (Å): 4.0917 4.0917 6.8255
angles (deg): 90.00 90.00 90.00
Last column: nearest neighbours and their distance in Å.
Fractional coordinates of all 5 atoms:
P1 0.5000 0.5000 0.5000  4 P 2.89
P2 0.0000 0.0000 0.5000  4 P 2.89
Ca1 0.0000 0.0000 0.0000  4 O 2.05
O1 0.0000 0.5000 0.0000  2 Ca 2.05
O2 0.5000 0.0000 0.0000  2 Ca 2.05

No. 5
Here is NdDy2Mg6 after structural relaxation from the Alexandria database. Energies are from PBE.

Properties
ρ   4.3 g/cm³
DFT total energy   -2.696 eV per atom
Energy of formation   -0.0805 eV per atom

a b c (Å): 3.3100 9.1184 9.1184
angles (deg): 120.00 90.00 90.00
Last column: nearest neighbours and their distance in Å.
Fractional coordinates of all 9 atoms:
Nd1 0.0000 0.0000 0.0000  2 Nd 3.31, 12 Mg 3.49
Dy1 0.0000 0.3333 0.6667  2 Dy 3.31, 12 Mg 3.45
Dy2 0.0000 0.6667 0.3333  2 Dy 3.31, 12 Mg 3.45
Mg1 0.5000 0.3365 0.3365  5 Mg 2.98-3.31
Mg2 0.5000 0.6635 0.6635  5 Mg 2.98-3.31
Mg3 0.5000 0.0000 0.6635  5 Mg 2.98-3.31
Mg4 0.5000 0.6635 0.0000  5 Mg 2.98-3.31
Mg5 0.5000 0.3365 0.0000  5 Mg 2.98-3.31
Mg6 0.5000 0.0000 0.3365  5 Mg 2.98-3.31

No. 6
Here is Ac2OsO6 after structural relaxation from the Alexandria database. Energies are from PBE.

Properties
ρ   8.4 g/cm³
DFT total energy   -7.865 eV per atom
Formation energy from raw total energies   -231.5 kJ per mole of atoms

a b c (Å): 5.7156 6.5288 7.8750
angles (deg): 90.00 95.58 90.00
Last column: nearest neighbours and their distance in Å.
Fractional coordinates of all 18 atoms:
Ac1 0.9653 0.4079 0.7481  7 O 2.50-2.78
Ac2 0.5347 0.9079 0.7519  7 O 2.50-2.78
Ac3 0.4653 0.0921 0.2481  7 O 2.50-2.78
Ac4 0.0347 0.5921 0.2519  7 O 2.50-2.78
Os1 0.5000 0.5000 0.0000  6 O 1.93-1.98
Os2 0.0000 0.0000 0.5000  6 O 1.93-1.98
O1 0.8765 0.9518 0.2671  1 Os 1.93
O2 0.8726 0.7377 0.5642  1 Os 1.95
O3 0.7918 0.6442 0.9525  1 Os 1.98
O4 0.7082 0.1442 0.5475  1 Os 1.98
O5 0.6274 0.2377 0.9358  1 Os 1.95
O6 0.6235 0.4518 0.2329  1 Os 1.93
O7 0.1235 0.0482 0.7329  1 Os 1.93
O8 0.1274 0.2623 0.4358  1 Os 1.95
O9 0.2082 0.3558 0.0475  1 Os 1.98
O10 0.2918 0.8558 0.4525  1 Os 1.98
O11 0.3726 0.7623 0.0642  1 Os 1.95
O12 0.3765 0.5482 0.7671  1 Os 1.93